DFT (GGA-PBE) results for a geometry-optimized Ag3SnF6 structure.

Structure (CIF):
```
data_Ag3SnF6
_cell_length_a 5.140
_cell_length_b 7.021
_cell_length_c 8.689
_cell_angle_alpha 90.14
_cell_angle_beta 90.00
_cell_angle_gamma 90.00
_symmetry_space_group_name_H-M 'P 1'
_symmetry_Int_Tables_number 1
_symmetry_space_group_name_Hall 'P 1'
loop_
_atom_site_label
_atom_site_type_symbol
_atom_site_fract_x
_atom_site_fract_y
_atom_site_fract_z
_atom_site_occupancy
Ag1 Ag 0.001 0.501 0.166 1
Ag2 Ag 0.500 0.500 0.000 1
Ag3 Ag 0.999 0.499 0.834 1
Ag4 Ag 0.499 0.001 0.666 1
Ag5 Ag 0.000 0.000 0.500 1
Ag6 Ag 0.501 0.999 0.334 1
Sn1 Sn 0.500 0.500 0.500 1
Sn2 Sn 0.000 0.000 0.000 1
F1 F 0.831 0.160 0.168 1
F2 F 0.806 0.323 0.501 1
F3 F 0.831 0.158 0.831 1
F4 F 0.169 0.842 0.169 1
F5 F 0.194 0.677 0.499 1
F6 F 0.169 0.840 0.832 1
F7 F 0.669 0.660 0.668 1
F8 F 0.694 0.823 0.001 1
F9 F 0.669 0.658 0.331 1
F10 F 0.331 0.342 0.669 1
F11 F 0.306 0.177 0.999 1
F12 F 0.331 0.340 0.332 1
```

**D(E_F)**: 0.247 states/eV per atom
**ρ**: 5.89 Mg/m³
**Space-group type**: No. 14
**Formation energy from raw total energies**: -1571 meV per atom
**Energy above the most stable polymorph in this dataset**: 0.000 eV/f.u.

DFT (GGA-PBE) results for a geometry-optimized LiZr2GaH structure.

Structure (CIF):
```
data_LiZr2GaH
_cell_length_a 4.351
_cell_length_b 4.351
_cell_length_c 4.013
_cell_angle_alpha 90.00
_cell_angle_beta 90.00
_cell_angle_gamma 90.00
_symmetry_space_group_name_H-M 'P 1'
_symmetry_Int_Tables_number 1
_symmetry_space_group_name_Hall 'P 1'
loop_
_atom_site_label
_atom_site_type_symbol
_atom_site_fract_x
_atom_site_fract_y
_atom_site_fract_z
_atom_site_occupancy
H1 H 0.000 0.000 0.000 1
Ga1 Ga 0.500 0.500 0.500 1
Zr1 Zr 0.000 0.500 0.000 1
Zr2 Zr 0.500 0.000 0.000 1
Li1 Li 0.000 0.000 0.500 1
```

**D(E_F)**: 0.357 states/eV per atom
**Electronic total energy**: -27.281 eV/cell
**ρ**: 5.69 Mg/m³
**Space-group type**: No. 123

DFT (GGA-PBE) results for a geometry-optimized AcPrCoOs structure.

Structure (CIF):
```
data_AcPrCoOs
_cell_length_a 4.193
_cell_length_b 4.193
_cell_length_c 7.839
_cell_angle_alpha 90.08
_cell_angle_beta 105.43
_cell_angle_gamma 120.00
_symmetry_space_group_name_H-M 'P 1'
_symmetry_Int_Tables_number 1
_symmetry_space_group_name_Hall 'P 1'
loop_
_atom_site_label
_atom_site_type_symbol
_atom_site_fract_x
_atom_site_fract_y
_atom_site_fract_z
_atom_site_occupancy
Ac1 Ac 0.351 0.041 0.392 1
Pr1 Pr 0.003 0.866 0.869 1
Co1 Co 0.832 0.281 0.113 1
Os1 Os 0.505 0.617 0.122 1
```

**D(E_F)**: 1.651 states/eV per atom
**Energy of formation from the pure elements**: -0.044 eV per atom
**ρ**: 9.02 Mg/m³
**Space-group type**: No. 8

DFT (GGA-PBE) results for a geometry-optimized TbPr2Nd6Y3 structure.

Structure (CIF):
```
data_TbPr2Nd6Y3
_cell_length_a 6.336
_cell_length_b 6.336
_cell_length_c 12.050
_cell_angle_alpha 95.02
_cell_angle_beta 95.02
_cell_angle_gamma 120.01
_symmetry_space_group_name_H-M 'P 1'
_symmetry_Int_Tables_number 1
_symmetry_space_group_name_Hall 'P 1'
loop_
_atom_site_label
_atom_site_type_symbol
_atom_site_fract_x
_atom_site_fract_y
_atom_site_fract_z
_atom_site_occupancy
Tb1 Tb 0.000 0.000 0.000 1
Pr1 Pr 0.333 0.667 0.000 1
Pr2 Pr 0.667 0.333 0.000 1
Nd1 Nd 0.916 0.584 0.747 1
Nd2 Nd 0.752 0.752 0.253 1
Nd3 Nd 0.084 0.416 0.253 1
Nd4 Nd 0.584 0.916 0.747 1
Nd5 Nd 0.248 0.248 0.747 1
Nd6 Nd 0.416 0.084 0.253 1
Y1 Y 0.166 0.834 0.500 1
Y2 Y 0.834 0.166 0.500 1
Y3 Y 0.500 0.500 0.500 1
```

**D(E_F)**: 1.353 states/eV per atom
**Energy of formation from the pure elements**: 0.012 eV per atom
**ρ**: 6.33 Mg/m³
**Space-group type**: No. 12

DFT (GGA-PBE) results for a geometry-optimized SmEuTmAl structure.

Structure (CIF):
```
data_SmEuTmAl
_cell_length_a 5.417
_cell_length_b 5.417
_cell_length_c 5.417
_cell_angle_alpha 60.00
_cell_angle_beta 60.00
_cell_angle_gamma 60.00
_symmetry_space_group_name_H-M 'P 1'
_symmetry_Int_Tables_number 1
_symmetry_space_group_name_Hall 'P 1'
loop_
_atom_site_label
_atom_site_type_symbol
_atom_site_fract_x
_atom_site_fract_y
_atom_site_fract_z
_atom_site_occupancy
Eu1 Eu 0.250 0.250 0.250 1
Tm1 Tm 0.500 0.500 0.500 1
Al1 Al 0.750 0.750 0.750 1
Sm1 Sm 0.000 0.000 0.000 1
```

**D(E_F)**: 1.150 states/eV per atom
**Energy of formation from the pure elements**: -0.023 eV per atom
**ρ**: 7.36 Mg/m³
**Space-group type**: No. 216

DFT (GGA-PBE) results for a geometry-optimized Th3H2Rh9 structure.

Structure (CIF):
```
data_Th3H2Rh9
_cell_length_a 5.883
_cell_length_b 5.883
_cell_length_c 7.185
_cell_angle_alpha 90.00
_cell_angle_beta 90.00
_cell_angle_gamma 120.00
_symmetry_space_group_name_H-M 'P 1'
_symmetry_Int_Tables_number 1
_symmetry_space_group_name_Hall 'P 1'
loop_
_atom_site_label
_atom_site_type_symbol
_atom_site_fract_x
_atom_site_fract_y
_atom_site_fract_z
_atom_site_occupancy
Th1 Th 0.667 0.333 0.666 1
Th2 Th 0.000 0.000 0.000 1
Th3 Th 0.333 0.667 0.334 1
H1 H 0.667 0.333 0.205 1
H2 H 0.333 0.667 0.795 1
Rh1 Rh 0.165 0.835 0.667 1
Rh2 Rh 0.165 0.331 0.667 1
Rh3 Rh 0.500 0.500 0.000 1
Rh4 Rh 0.835 0.669 0.333 1
Rh5 Rh 0.331 0.165 0.333 1
Rh6 Rh 0.669 0.835 0.667 1
Rh7 Rh 0.835 0.165 0.333 1
Rh8 Rh 0.000 0.500 0.000 1
Rh9 Rh 0.500 0.000 0.000 1
```

**D(E_F)**: 0.741 states/eV per atom
**Electronic total energy**: -104.752 eV/cell
**ρ**: 12.52 Mg/m³
**Space-group type**: No. 164